# PBE+U MnZnO2, optimized geometry
# total moment: 5.00 μB per formula unit
# VASP energy: -24.42 eV for the cell shown
data_MnZnO2
_symmetry_space_group_name_H-M 'P 4/m m m'
_symmetry_Int_Tables_number 123
_symmetry_space_group_name_Hall '-P 4 2'
_cell_length_a 3.131
_cell_length_b 3.131
_cell_length_c 4.435
_cell_angle_alpha 90.00
_cell_angle_beta 90.00
_cell_angle_gamma 90.00
loop_
_atom_site_label
_atom_site_fract_x
_atom_site_fract_y
_atom_site_fract_z
Mn1 0.000 0.000 0.000
Zn1 0.500 0.500 0.500
O1 0.000 0.000 0.500
O2 0.500 0.500 0.000